[1]
The following is a PBE calculation of Co2SiHg after structural relaxation, from the Alexandria database.

Formation energy from raw total energies = 269 meV/atom
Energy above the most stable polymorph in this dataset = 367 meV/atom
E = -4.7156 eV/atom

Cell and atoms, written as POSCAR:
```
Co2SiHg
1.0
-2.620 -1.838 2.803
2.862 0.624 3.085
-1.217 2.642 0.595
Co Hg Si
2 1 1
Cartesian
0.121 -0.607 2.944
0.000 0.000 0.000
-1.919 0.402 1.699
0.823 1.633 1.840
```


[2]
The following is a PBE calculation of PmSm2Ir2 after structural relaxation, from the Alexandria database.

Energy above the most stable polymorph in this dataset = 0 meV/atom
Calculated formation energy = -0.643 eV per atom
E = -7.0254 eV/atom

Cell and atoms, written as POSCAR:
```
PmSm2Ir2
1.0
4.434 0.000 0.000
0.000 5.662 0.814
0.000 0.094 10.647
Ir Sm Pm
4 4 2
Cartesian
1.109 3.997 7.353
3.326 3.714 0.884
1.109 2.042 10.578
3.326 1.758 4.109
3.326 4.396 5.589
3.326 0.649 1.302
1.109 1.360 5.872
1.109 5.107 10.160
3.326 2.640 8.776
1.109 3.116 2.686
```


[3]
The following is a PBE calculation of Dy6NiPd2 after structural relaxation, from the Alexandria database.

Calculated formation energy = -0.473 eV per atom
E = -5.3372 eV/atom

Cell and atoms, written as POSCAR:
```
Dy6NiPd2
1.0
6.543 0.000 0.216
0.000 7.222 0.000
-0.495 0.000 9.940
Pd Dy Ni
4 12 2
Cartesian
2.756 0.833 2.658
0.268 4.444 2.420
3.293 6.389 7.499
5.780 2.778 7.736
1.989 5.899 4.398
5.125 4.892 5.820
0.924 2.330 4.336
5.443 6.969 2.639
0.605 0.253 7.518
4.059 1.323 5.759
1.035 2.288 0.680
1.925 3.864 7.501
4.124 3.358 2.656
5.013 4.934 9.476
2.100 5.941 0.742
3.948 1.281 9.415
-0.247 0.000 4.970
3.271 3.611 0.108
```


[4]
The following is a PBE calculation of Nd6Dy5Y after structural relaxation, from the Alexandria database.

Energy above the most stable polymorph in this dataset = 4 meV/atom
Calculated formation energy = 0.015 eV per atom
E = -4.8251 eV/atom

Cell and atoms, written as POSCAR:
```
Nd6Dy5Y
1.0
-0.058 -2.563 -4.448
6.164 -7.029 3.974
-9.158 0.792 2.624
Dy Y Nd
5 1 6
Cartesian
3.082 -3.515 1.987
1.015 -6.132 0.560
-4.068 -2.668 1.590
-2.067 -2.618 -1.427
-0.986 -6.182 3.577
0.000 0.000 0.000
-2.557 -5.703 0.358
1.517 -3.045 -1.227
-0.495 -3.097 1.792
-5.634 -2.194 -1.626
4.588 -6.547 0.753
2.582 -6.606 3.776
```


[5]
The following is a PBE calculation of Pm2NiGe3 after structural relaxation, from the Alexandria database.

Energy above the most stable polymorph in this dataset = 35 meV/atom
Calculated formation energy = -0.744 eV per atom
E = -5.6001 eV/atom

Cell and atoms, written as POSCAR:
```
Pm2NiGe3
1.0
4.173 0.000 0.000
0.000 4.234 0.000
0.000 0.000 7.166
Pm Ge Ni
2 3 1
Cartesian
0.000 0.000 3.597
0.000 2.117 0.031
2.086 0.000 1.357
2.086 2.117 4.617
2.086 0.000 6.009
2.086 2.117 2.304
```


[6]
The following is a PBE calculation of Pu2Al3CdAu4 after structural relaxation, from the Alexandria database.

Calculated formation energy = -0.413 eV per atom
E = -5.8045 eV/atom

Cell and atoms, written as POSCAR:
```
Pu2Al3CdAu4
1.0
4.322 0.000 0.000
0.000 4.322 0.000
0.000 0.000 11.334
Pu Cd Al Au
2 1 3 4
Cartesian
0.000 2.161 8.602
2.161 0.000 2.732
2.161 2.161 5.667
0.000 0.000 5.667
0.000 2.161 1.427
2.161 0.000 9.907
0.000 0.000 0.000
0.000 2.161 3.926
2.161 0.000 7.409
2.161 2.161 0.000
```